PBEsol TiIrPtC2, relaxed; ΔH_f (0 K) = 1.622 eV/atom; Fermi-level density of states = 0.7550 states/eV per atom
1.0
-2.381 -0.757 -2.842
-2.800 -0.535 2.489
-1.260 5.139 -0.313
C Pt Ti Ir
2 1 1 1
Direct
0.000 0.500 0.000
0.500 0.000 0.000
0.000 0.000 0.000
0.500 0.500 0.500
0.000 0.000 0.500